# Cs3Cd2HgCl9

A relaxed Cs3Cd2HgCl9 crystal (PBE-GGA, the Alexandria database).

The structure in extended XYZ format:
```
15
Lattice="-2.4491 -4.7779 5.3293 6.2949 4.0368 1.1428 -5.0448 6.7978 3.7761" Properties=species:S:1:pos:R:3 pbc="T T T"
Hg -2.5224 3.3989 1.8881
Cs 0.0251 5.6195 5.0497
Cl 1.9421 2.4358 5.7366
Cd -3.7516 3.8430 7.0905
Cd 2.5527 2.2137 3.1577
Cl -4.3546 1.2535 7.1522
Cl -1.2355 3.2537 7.7184
Cl 0.0365 2.8030 2.5298
Cl 1.9229 -0.3706 3.2360
Cl -1.2245 -2.3889 2.6646
Cl 3.1475 2.0184 0.5714
Cl 3.1556 4.8032 3.0960
Cs 0.0000 0.0000 0.0000
Cs -1.2241 0.4372 5.1985
Cl -3.1410 3.6209 4.5116
```

calculated total energy: -2.790 eV/atom
crystal system: trigonal
formation energy from raw total energies: -1370 meV per atom
total moment: 0.0 Bohr magnetons per cell
density: 4.132 g cm⁻³

# Cs2HoCdCl6

A relaxed Cs2HoCdCl6 crystal (PBE-GGA, the Alexandria database).

The structure in extended XYZ format:
```
20
Lattice="-5.0161 -0.0425 -6.0850 2.0180 -7.4616 -1.6113 -8.1277 -3.6506 6.7255" Properties=species:S:1:pos:R:3 pbc="T T T"
Cl -0.1450 -3.8554 -2.2679
Cs -1.5301 -2.7775 1.2807
Cl -4.6952 -8.3925 3.9291
Cd -2.0018 -1.8931 -3.4467
Cl -6.7789 -5.4728 -1.8982
Cs -3.0238 -6.5306 -2.5718
Ho 1.5153 -5.6028 -1.2099
Cd -2.5521 -7.4150 2.1556
Cl -0.4018 -6.4641 0.3764
Ho -6.0692 -3.7053 -0.0812
Cs -5.5895 -4.6008 4.6397
Cl -7.9864 -4.5662 1.5053
Cl 0.8074 -7.3723 -3.0259
Cs -7.0922 -8.3579 0.7946
Cl -7.7288 -1.9559 -1.1373
Cl -2.7911 -3.8779 -5.4779
Cl -5.3613 -1.9358 1.7348
Cl -4.4089 -5.4527 0.9768
Cl -1.8411 -7.3948 -6.2389
Cl -4.1521 -2.8440 -1.6676
```

calculated total energy: -3.649 eV/atom
crystal system: orthorhombic
formation energy from raw total energies: -1821 meV per atom
total moment: 1.6 Bohr magnetons per cell
density: 3.611 g cm⁻³